Record 1
The following is a PBE-GGA calculation of a relaxed structure of TlGeSe2, from the Alexandria database.

Cell lengths 8.182, 8.182, 8.182 Å; angles 27.35, 27.35, 27.35 degrees
Atoms (fractional coordinates):
Tl  0.000  0.000  0.000
Ge  0.167  0.167  0.167
Se  0.566  0.566  0.566
Se  0.769  0.769  0.769

Computed properties:
symmetry	R3m
energy	-3.7354	eV/atom
formation energy (no corrections)	-0.25	eV/atom

***

Record 2
The following is a PBE-GGA calculation of a relaxed structure of ZrPa2, from the Alexandria database.

Cell lengths 5.960, 5.960, 5.960 Å; angles 60.00, 60.00, 60.00 degrees
Atoms (fractional coordinates):
Zr  0.125  0.125  0.125
Zr  0.875  0.875  0.875
Pa  0.000  0.500  0.500
Pa  0.500  0.000  0.500
Pa  0.500  0.500  0.000
Pa  0.500  0.500  0.500

Computed properties:
symmetry	Fd-3m
energy	-8.8782	eV/atom
formation enthalpy at 0 K	0.302	eV/atom
energy relative to the lowest polymorph listed for this composition	238	meV/atom

***

Record 3
The following is a PBE-GGA calculation of a relaxed structure of BaV3Pb, from the Alexandria database.

Cell lengths 5.379, 5.379, 5.379 Å; angles 90.00, 90.00, 90.00 degrees
Atoms (fractional coordinates):
Ba  0.000  0.000  0.000
V  0.000  0.500  0.500
V  0.500  0.000  0.500
V  0.500  0.500  0.000
Pb  0.500  0.500  0.500

Computed properties:
symmetry	Pm-3m
energy	-5.3561	eV/atom
formation enthalpy at 0 K	1.241	eV/atom
energy relative to the lowest polymorph listed for this composition	0	meV/atom

***

Record 4
The following is a PBE-GGA calculation of a relaxed structure of ZnPdF4, from the Alexandria database.

Cell lengths 6.826, 6.826, 5.131 Å; angles 112.00, 112.00, 114.63 degrees
Atoms (fractional coordinates):
Zn  0.081  0.919  0.750
Zn  0.919  0.081  0.250
Pd  0.333  0.667  0.250
Pd  0.667  0.333  0.750
F  0.021  0.625  0.815
F  0.191  0.281  0.784
F  0.281  0.191  0.284
F  0.375  0.979  0.685
F  0.625  0.021  0.315
F  0.719  0.809  0.716
F  0.809  0.719  0.216
F  0.979  0.375  0.185

Computed properties:
symmetry	C2/c
energy	-3.9612	eV/atom
formation energy (no corrections)	-1.64	eV/atom
energy relative to the lowest polymorph listed for this composition	15	meV/atom

***

Record 5
The following is a PBE-GGA calculation of a relaxed structure of CaCeIn2, from the Alexandria database.

Cell lengths 3.450, 3.450, 9.339 Å; angles 90.00, 90.00, 90.00 degrees
Atoms (fractional coordinates):
Ca  0.000  0.000  0.000
Ce  0.000  0.000  0.500
In  0.500  0.500  0.249
In  0.500  0.500  0.751

Computed properties:
symmetry	P4/mmm
energy	-3.7516	eV/atom
formation enthalpy at 0 K	-0.399	eV/atom

***

Record 6
The following is a PBE-GGA calculation of a relaxed structure of CdNi6Ir, from the Alexandria database.

Cell lengths 6.374, 6.374, 10.424 Å; angles 90.00, 90.00, 109.58 degrees
Atoms (fractional coordinates):
Cd  0.000  0.000  0.248
Cd  0.000  0.000  0.752
Cd  0.245  0.755  0.500
Cd  0.755  0.245  0.500
Ni  0.000  0.000  0.000
Ni  0.000  0.000  0.500
Ni  0.131  0.386  0.121
Ni  0.131  0.386  0.879
Ni  0.135  0.381  0.370
Ni  0.135  0.381  0.630
Ni  0.255  0.745  0.243
Ni  0.255  0.745  0.757
Ni  0.381  0.135  0.370
Ni  0.381  0.135  0.630
Ni  0.386  0.131  0.121
Ni  0.386  0.131  0.879
Ni  0.500  0.500  0.000
Ni  0.500  0.500  0.500
Ni  0.614  0.869  0.121
Ni  0.614  0.869  0.879
Ni  0.619  0.865  0.370
Ni  0.619  0.865  0.630
Ni  0.745  0.255  0.243
Ni  0.745  0.255  0.757
Ni  0.865  0.619  0.370
Ni  0.865  0.619  0.630
Ni  0.869  0.614  0.121
Ni  0.869  0.614  0.879
Ir  0.243  0.757  0.000
Ir  0.500  0.500  0.251
Ir  0.500  0.500  0.749
Ir  0.757  0.243  0.000

Computed properties:
symmetry	Cmmm
energy	-5.4916	eV/atom
formation enthalpy at 0 K	0.066	eV/atom

***

Record 7
The following is a PBE-GGA calculation of a relaxed structure of YPuBrO4, from the Alexandria database.

Cell lengths 7.300, 7.300, 6.482 Å; angles 106.07, 106.07, 56.66 degrees
Atoms (fractional coordinates):
Y  0.239  0.239  0.095
Y  0.761  0.761  0.905
Pu  0.383  0.383  0.770
Pu  0.617  0.617  0.230
Br  0.012  0.012  0.254
Br  0.988  0.988  0.746
O  0.077  0.465  0.813
O  0.344  0.344  0.466
O  0.426  0.426  0.093
O  0.465  0.077  0.813
O  0.535  0.923  0.187
O  0.574  0.574  0.907
O  0.656  0.656  0.534
O  0.923  0.535  0.187

Computed properties:
symmetry	C2/m
energy	-8.4995	eV/atom
formation energy (no corrections)	-2.46	eV/atom

***

Record 8
The following is a PBE-GGA calculation of a relaxed structure of BeInAs2, from the Alexandria database.

Cell lengths 4.064, 4.064, 7.495 Å; angles 114.63, 114.63, 51.95 degrees
Atoms (fractional coordinates):
Be  0.000  0.000  0.000
In  0.030  0.030  0.487
As  0.254  0.254  0.894
As  0.616  0.616  0.249

Computed properties:
symmetry	Cm
energy	-3.8834	eV/atom
formation enthalpy at 0 K	0.057	eV/atom

***

Record 9
The following is a PBE-GGA calculation of a relaxed structure of GdAsPd, from the Alexandria database.

Cell lengths 4.311, 4.311, 3.905 Å; angles 90.00, 90.00, 120.00 degrees
Atoms (fractional coordinates):
Gd  0.000  0.000  0.000
As  0.667  0.333  0.500
Pd  0.333  0.667  0.500

Computed properties:
symmetry	P-6m2
energy	-9.1346	eV/atom
formation enthalpy at 0 K	-1.160	eV/atom

***

Record 10
The following is a PBE-GGA calculation of a relaxed structure of YGa2Co2, from the Alexandria database.

Cell lengths 5.714, 5.714, 5.714 Å; angles 138.40, 138.40, 60.29 degrees
Atoms (fractional coordinates):
Y  0.000  0.000  0.000
Ga  0.369  0.369  0.000
Ga  0.631  0.631  0.000
Co  0.250  0.750  0.500
Co  0.750  0.250  0.500

Computed properties:
symmetry	I4/mmm
energy	-5.7675	eV/atom
formation enthalpy at 0 K	-0.422	eV/atom

***

Record 11
The following is a PBE-GGA calculation of a relaxed structure of Dy3ErSb3, from the Alexandria database.

Cell lengths 9.170, 9.170, 9.170 Å; angles 90.00, 90.00, 90.00 degrees
Atoms (fractional coordinates):
Dy  0.071  0.429  0.571
Dy  0.177  0.823  0.323
Dy  0.178  0.178  0.178
Dy  0.322  0.822  0.678
Dy  0.323  0.177  0.823
Dy  0.429  0.571  0.071
Dy  0.571  0.071  0.429
Dy  0.677  0.677  0.677
Dy  0.678  0.322  0.822
Dy  0.822  0.678  0.322
Dy  0.823  0.323  0.177
Dy  0.929  0.929  0.929
Er  0.073  0.573  0.927
Er  0.427  0.427  0.427
Er  0.573  0.927  0.073
Er  0.927  0.073  0.573
Sb  0.000  0.252  0.874
Sb  0.000  0.752  0.626
Sb  0.126  0.500  0.248
Sb  0.248  0.126  0.500
Sb  0.252  0.874  0.000
Sb  0.374  0.500  0.748
Sb  0.500  0.248  0.126
Sb  0.500  0.748  0.374
Sb  0.626  0.000  0.752
Sb  0.748  0.374  0.500
Sb  0.752  0.626  0.000
Sb  0.874  0.000  0.252

Computed properties:
symmetry	P2_13
energy	-5.3729	eV/atom
formation energy (no corrections)	-0.98	eV/atom
energy relative to the lowest polymorph listed for this composition	0	meV/atom

***

Record 12
The following is a PBE-GGA calculation of a relaxed structure of TaP2W, from the Alexandria database.

Cell lengths 4.030, 4.030, 5.445 Å; angles 102.47, 102.47, 45.56 degrees
Atoms (fractional coordinates):
Ta  0.000  0.000  0.000
P  0.247  0.247  0.728
P  0.753  0.753  0.272
W  0.500  0.500  0.500

Computed properties:
symmetry	C2/m
energy	-9.0106	eV/atom
formation enthalpy at 0 K	-0.104	eV/atom